1.
A plane-wave DFT calculation with GGA-PBE was carried out for TbIn2GaPd4 after structural relaxation.

Summary:
- Space-group type: R-3m, No. 166
- E_form: -649.6 meV per atom
- M_tot: 0.00 μB per cell

Cell lengths 4.7207, 4.7207, 8.0351 Å; angles 72.92, 72.92, 60.00 degrees
Fractional coordinates of all 8 atoms:
Pd (0.1305, 0.1305, 0.6085)
Pd (0.8695, 0.8695, 0.3915)
Ga (0.5000, 0.5000, 0.5000)
In (0.2535, 0.2535, 0.2394)
Tb (0.0000, 0.0000, 0.0000)
In (0.7465, 0.7465, 0.7606)
Pd (0.6112, 0.6112, 0.1663)
Pd (0.3888, 0.3888, 0.8337)

2.
A plane-wave DFT calculation with GGA-PBE was carried out for EuYZnBi after structural relaxation.

Summary:
- Space-group type: F-43m, No. 216
- E_form: -441.3 meV per atom
- M_tot: 7.69 μB per cell

Cell lengths 5.4050, 5.4050, 5.4050 Å; angles 60.00, 60.00, 60.00 degrees
Each line ends with the local moment (μB).
Fractional coordinates of all 4 atoms:
Bi (0.5000, 0.5000, 0.5000)  -0.04
Zn (0.0000, 0.0000, 0.0000)  0.02
Eu (0.2500, 0.2500, 0.2500)  6.89
Y (0.7500, 0.7500, 0.7500)  0.22

3.
A plane-wave DFT calculation with GGA-PBE was carried out for Zr2ScTa after structural relaxation.

Summary:
- Space-group type: R3m, No. 160
- E_form: 156.3 meV per atom
- M_tot: 0.23 μB per cell

Cell lengths 3.1538, 3.1538, 10.4260 Å; angles 81.30, 81.30, 60.00 degrees
Each line ends with the local moment (μB).
Fractional coordinates of all 4 atoms:
Sc (0.4994, 0.4994, 0.5017)  0.09
Ta (0.6669, 0.6669, 0.9994)  0.02
Zr (0.0800, 0.0800, 0.7600)  0.01
Zr (0.2537, 0.2537, 0.2389)  0.01